NaV2IrO8: optimized geometry, GGA+U. Values from VASP.

Computed properties:
**Total magnetic moment**: 1.5 Bohr magnetons per cell
**E**: -6.850 eV per atom
**ρ**: 4.1 g/cm3
**V**: 14.8 A^3/atom
**Space-group type**: No. 164

```
&SYSTEM
  ibrav = 0, nat = 12, ntyp = 4
/
ATOMIC_SPECIES
Na 22.99 Na.upf
V 50.94 V.upf
Ir 192.22 Ir.upf
O 16.00 O.upf
CELL_PARAMETERS angstrom
5.6155 0.0000 0.0000
-2.8077 4.8631 0.0000
0.0000 0.0000 6.5217
ATOMIC_POSITIONS angstrom
Na 0.0000 0.0000 0.0000
V 0.0000 3.2421 1.5462
V 2.8077 1.6210 4.9754
Ir 0.0000 0.0000 3.2608
O 0.0000 1.5533 2.0976
O -1.4625 4.0865 2.0976
O 1.3452 0.7767 4.4241
O 0.0000 3.2421 6.4196
O 2.8077 1.6210 0.1020
O 1.4625 4.0865 2.0976
O 4.2702 0.7767 4.4241
O 2.8077 3.3098 4.4241
```